# ZnBiB4

A geometry-optimized ZnBiB4 structure (PBE-GGA, OQMD via LeMat-Bulk).

Lattice parameters (Å, degrees): 3.1216 3.1216 8.1709 90.00 90.00 120.00
Last column: nearest neighbours and their distance in Å.
Fractional coordinates of all 6 atoms:
B 0.6667 0.3333 0.2998  3 B 1.80
B 0.3333 0.6667 0.2998  3 B 1.80
B 0.6667 0.3333 0.7002  3 B 1.80
B 0.3333 0.6667 0.7002  3 B 1.80
Bi 0.0000 0.0000 0.0000  12 B 3.04, 6 Bi 3.12
Zn 0.0000 0.0000 0.5000  12 B 2.43

Results
crystal system = hexagonal
E_tot = -0.35334 Ry/atom
polymorph energy (0 for the lowest one) = 0.000 eV/atom

---

# LaPuBi

A geometry-optimized LaPuBi structure (PBE-GGA, OQMD via LeMat-Bulk).

Lattice parameters (Å, degrees): 5.2831 5.2831 5.2831 60.00 60.00 60.00
Last column: nearest neighbours and their distance in Å.
Fractional coordinates of all 3 atoms:
Bi 0.5000 0.5000 0.5000  4 Pu 3.24
La 0.0000 0.0000 0.0000  4 Pu 3.24
Pu 0.2500 0.2500 0.2500  4 Bi 3.24, 4 La 3.24

Results
spin magnetization = 7.72 μB per cell
crystal system = cubic
E_tot = -0.56934 Ry/atom
polymorph energy (0 for the lowest one) = 0.000 eV/atom

---

# HfReNiAs

A geometry-optimized HfReNiAs structure (PBE-GGA, OQMD via LeMat-Bulk).

Lattice parameters (Å, degrees): 4.4796 4.4796 4.4796 60.00 60.00 60.00
Last column: nearest neighbours and their distance in Å.
Fractional coordinates of all 4 atoms:
As 0.0000 0.0000 0.0000  4 Hf 2.74, 4 Ni 2.74
Hf 0.2500 0.2500 0.2500  4 As 2.74, 4 Re 2.74
Ni 0.7500 0.7500 0.7500  4 As 2.74, 4 Re 2.74
Re 0.5000 0.5000 0.5000  4 Hf 2.74, 4 Ni 2.74

Results
spin magnetization = 1.20 μB per cell
crystal system = cubic
E_tot = -0.57508 Ry/atom

---

# DyZnNi

A geometry-optimized DyZnNi structure (PBE-GGA, OQMD via LeMat-Bulk).

Lattice parameters (Å, degrees): 6.8333 6.8333 3.9561 90.00 90.00 120.00
Last column: nearest neighbours and their distance in Å.
Fractional coordinates of all 9 atoms:
Dy 0.5879 0.0000 0.0000  5 Zn 2.82-2.86, 6 Ni 3.13-3.15
Dy 0.4121 0.4121 0.0000  5 Zn 2.82-2.86, 6 Ni 3.13-3.15
Dy 0.0000 0.5879 0.0000  5 Zn 2.82-2.86, 6 Ni 3.13-3.15
Ni 0.2334 0.0000 0.5000  4 Zn 2.54-2.68, 2 Ni 2.76
Ni 0.0000 0.2334 0.5000  4 Zn 2.54-2.68, 2 Ni 2.76
Ni 0.7666 0.7666 0.5000  4 Zn 2.54-2.68, 2 Ni 2.76
Zn 0.0000 0.0000 0.0000  6 Ni 2.54, 3 Dy 2.82
Zn 0.6667 0.3333 0.5000  3 Ni 2.68, 6 Dy 2.86
Zn 0.3333 0.6667 0.5000  3 Ni 2.68, 6 Dy 2.86

Results
spin magnetization = 0.00 μB per cell
crystal system = hexagonal
E_tot = -0.30190 Ry/atom

---

# BaNiP

A geometry-optimized BaNiP structure (PBE-GGA, OQMD via LeMat-Bulk).

Lattice parameters (Å, degrees): 6.1876 7.4086 7.4461 90.00 126.69 90.00
Last column: nearest neighbours and their distance in Å.
Fractional coordinates of all 12 atoms:
Ba 0.3735 0.9875 0.1850  5 P 3.26-3.45, 6 Ni 3.32-3.56
Ba 0.6265 0.4875 0.3150  5 P 3.26-3.45, 6 Ni 3.32-3.56
Ba 0.3735 0.5125 0.6850  5 P 3.26-3.45, 6 Ni 3.32-3.56
Ba 0.6265 0.0125 0.8150  5 P 3.26-3.45, 6 Ni 3.32-3.56
Ni 0.9991 0.3805 0.1171  3 P 2.18-2.22
Ni 0.0009 0.8805 0.3829  3 P 2.18-2.22
Ni 0.9991 0.1195 0.6171  3 P 2.18-2.22
Ni 0.0009 0.6195 0.8829  3 P 2.18-2.22
P 0.9671 0.6736 0.1586  3 Ni 2.18-2.22
P 0.0329 0.1736 0.3414  3 Ni 2.18-2.22
P 0.9671 0.8264 0.6586  3 Ni 2.18-2.22
P 0.0329 0.3264 0.8414  3 Ni 2.18-2.22

Results
spin magnetization = 0.00 μB per cell
crystal system = monoclinic
E_tot = -0.37999 Ry/atom

---

# Dy4IBr4N

A geometry-optimized Dy4IBr4N structure (PBE-GGA, OQMD via LeMat-Bulk).

Lattice parameters (Å, degrees): 8.9852 8.9852 8.3895 103.25 103.25 24.35
Last column: nearest neighbours and their distance in Å.
Fractional coordinates of all 10 atoms:
Br 0.8346 0.8346 0.1703  3 Dy 2.85-2.88
Br 0.1698 0.1698 0.3329  3 Dy 2.89-2.93
Br 0.8302 0.8302 0.6671  3 Dy 2.89-2.93
Br 0.1654 0.1654 0.8297  3 Dy 2.85-2.88
Dy 0.0005 0.0005 0.3101  2 N 2.48
Dy 0.3636 0.3636 0.4320  1 N 2.33
Dy 0.6364 0.6364 0.5680  1 N 2.33
Dy 0.9995 0.9995 0.6899  2 N 2.48
I 0.5000 0.5000 0.0000  4 Dy 3.22
N 0.5000 0.5000 0.5000  6 Dy 2.33-2.48

Results
spin magnetization = 0.00 μB per cell
crystal system = monoclinic
E_tot = -0.36886 Ry/atom

---

# NaNbCuTeSe2

A geometry-optimized NaNbCuTeSe2 structure (PBE-GGA, OQMD via LeMat-Bulk).

Lattice parameters (Å, degrees): 7.4449 7.4449 10.2246 90.00 90.00 151.30
Last column: nearest neighbours and their distance in Å.
Fractional coordinates of all 12 atoms:
Cu 0.4682 0.5318 0.2500  2 Se 2.39, 2 Te 2.60
Cu 0.5318 0.4682 0.7500  2 Se 2.39, 2 Te 2.60
Na 0.7811 0.2189 0.2500  4 Se 3.02, 2 Te 3.25, 2 Cu 3.27
Na 0.2189 0.7811 0.7500  4 Se 3.02, 2 Te 3.25, 2 Cu 3.27
Nb 0.0000 0.0000 0.0000  4 Se 2.65, 2 Te 2.90
Nb 0.0000 0.0000 0.5000  4 Se 2.65, 2 Te 2.90
Se 0.3744 0.6256 0.0572  1 Cu 2.39, 2 Nb 2.65
Se 0.3744 0.6256 0.4428  1 Cu 2.39, 2 Nb 2.65
Se 0.6256 0.3744 0.5572  1 Cu 2.39, 2 Nb 2.65
Se 0.6256 0.3744 0.9428  1 Cu 2.39, 2 Nb 2.65
Te 0.0953 0.9047 0.2500  2 Cu 2.60, 2 Nb 2.90
Te 0.9047 0.0953 0.7500  2 Cu 2.60, 2 Nb 2.90

Results
spin magnetization = 1.07 μB per cell
crystal system = orthorhombic
E_tot = -0.35321 Ry/atom

---

# SrUAl

A geometry-optimized SrUAl structure (PBE-GGA, OQMD via LeMat-Bulk).

Lattice parameters (Å, degrees): 5.2318 5.2318 5.2318 60.00 60.00 60.00
Last column: nearest neighbours and their distance in Å.
Fractional coordinates of all 3 atoms:
Al 0.0000 0.0000 0.0000  4 Sr 3.20, 4 U 3.20
Sr 0.2500 0.2500 0.2500  4 Al 3.20
U 0.7500 0.7500 0.7500  4 Al 3.20

Results
spin magnetization = 3.09 μB per cell
crystal system = cubic
E_tot = -0.34464 Ry/atom
polymorph energy (0 for the lowest one) = 0.000 eV/atom

---

# HfMgFeSb

A geometry-optimized HfMgFeSb structure (PBE-GGA, OQMD via LeMat-Bulk).

Lattice parameters (Å, degrees): 4.7167 4.7167 4.7167 60.00 60.00 60.00
Last column: nearest neighbours and their distance in Å.
Fractional coordinates of all 4 atoms:
Fe 0.7500 0.7500 0.7500  4 Mg 2.89, 4 Sb 2.89
Hf 0.2500 0.2500 0.2500  4 Mg 2.89, 4 Sb 2.89
Mg 0.5000 0.5000 0.5000  4 Fe 2.89, 4 Hf 2.89
Sb 0.0000 0.0000 0.0000  4 Fe 2.89, 4 Hf 2.89

Results
spin magnetization = 1.61 μB per cell
crystal system = cubic
E_tot = -0.42076 Ry/atom
polymorph energy (0 for the lowest one) = 0.155 eV/atom

---

# Pd

A geometry-optimized Pd structure (PBE-GGA, OQMD via LeMat-Bulk).

Lattice parameters (Å, degrees): 4.9881 4.9881 4.9881 90.00 90.00 90.00
Last column: nearest neighbours and their distance in Å.
Fractional coordinates of all 8 atoms:
Pd 0.0000 0.0000 0.0000  12 Pd 2.79
Pd 0.5000 0.2500 0.0000  6 Pd 2.49-2.79
Pd 0.5000 0.7500 0.0000  6 Pd 2.49-2.79
Pd 0.0000 0.5000 0.2500  6 Pd 2.49-2.79
Pd 0.2500 0.0000 0.5000  6 Pd 2.49-2.79
Pd 0.7500 0.0000 0.5000  6 Pd 2.49-2.79
Pd 0.5000 0.5000 0.5000  12 Pd 2.79
Pd 0.0000 0.5000 0.7500  6 Pd 2.49-2.79

Results
crystal system = cubic
E_tot = -0.37137 Ry/atom
polymorph energy (0 for the lowest one) = 0.123 eV/atom

---

# HoMgZn

A geometry-optimized HoMgZn structure (PBE-GGA, OQMD via LeMat-Bulk).

Lattice parameters (Å, degrees): 4.7182 4.7182 4.7182 60.00 60.00 60.00
Last column: nearest neighbours and their distance in Å.
Fractional coordinates of all 3 atoms:
Ho 0.2500 0.2500 0.2500  4 Zn 2.89
Mg 0.7500 0.7500 0.7500  4 Zn 2.89
Zn 0.0000 0.0000 0.0000  4 Mg 2.89, 4 Ho 2.89

Results
spin magnetization = 0.93 μB per cell
crystal system = cubic
E_tot = -0.18512 Ry/atom

---

# Dy2HoGa

A geometry-optimized Dy2HoGa structure (PBE-GGA, OQMD via LeMat-Bulk).

Lattice parameters (Å, degrees): 4.8399 6.7613 6.7613 102.14 90.00 90.00
Last column: nearest neighbours and their distance in Å.
Fractional coordinates of all 8 atoms:
Dy 0.2500 0.9343 0.1610  3 Ga 3.05-3.35, 3 Dy 3.30-3.40
Dy 0.2500 0.8683 0.6312  2 Ga 3.23, 6 Dy 3.30-3.52, 4 Ho 3.31-3.51
Dy 0.7500 0.6312 0.8683  2 Ga 3.23, 6 Dy 3.30-3.52, 4 Ho 3.31-3.51
Dy 0.7500 0.1610 0.9343  3 Ga 3.05-3.35, 3 Dy 3.30-3.40
Ga 0.2500 0.4282 0.0724  3 Ho 3.05-3.35, 5 Dy 3.05-3.35
Ga 0.7500 0.0724 0.4282  3 Ho 3.05-3.35, 5 Dy 3.05-3.35
Ho 0.7500 0.5653 0.3395  3 Ga 3.05-3.35, 1 Dy 3.31, 2 Ho 3.39
Ho 0.2500 0.3395 0.5653  3 Ga 3.05-3.35, 1 Dy 3.31, 2 Ho 3.39

Results
spin magnetization = 0.75 μB per cell
crystal system = orthorhombic
E_tot = -0.32751 Ry/atom
polymorph energy (0 for the lowest one) = 0.000 eV/atom

---

# ZnBi2Te

A geometry-optimized ZnBi2Te structure (PBE-GGA, OQMD via LeMat-Bulk).

Lattice parameters (Å, degrees): 5.4225 5.4225 5.4225 60.00 60.00 60.00
Last column: nearest neighbours and their distance in Å.
Fractional coordinates of all 4 atoms:
Bi 0.0000 0.0000 0.0000  4 Zn 3.32, 4 Bi 3.32
Bi 0.7500 0.7500 0.7500  4 Te 3.32, 4 Bi 3.32
Te 0.5000 0.5000 0.5000  4 Zn 3.32, 4 Bi 3.32
Zn 0.2500 0.2500 0.2500  4 Bi 3.32, 4 Te 3.32

Results
crystal system = cubic
E_tot = -0.21489 Ry/atom

---

# Ta

A geometry-optimized Ta structure (PBE-GGA, OQMD via LeMat-Bulk).

Lattice parameters (Å, degrees): 5.4611 5.4611 8.7254 90.00 90.00 120.00
Last column: nearest neighbours and their distance in Å.
Fractional coordinates of all 12 atoms:
Ta 0.0000 0.0000 0.0000  6 Ta 2.71
Ta 0.3333 0.6667 0.0623  16 Ta 3.13-3.34
Ta 0.3412 0.1706 0.2500  6 Ta 2.67-2.80
Ta 0.8294 0.1706 0.2500  6 Ta 2.67-2.80
Ta 0.8294 0.6588 0.2500  6 Ta 2.67-2.80
Ta 0.3333 0.6667 0.4377  16 Ta 3.13-3.34
Ta 0.0000 0.0000 0.5000  6 Ta 2.71
Ta 0.6667 0.3333 0.5623  16 Ta 3.13-3.34
Ta 0.1706 0.3412 0.7500  6 Ta 2.67-2.80
Ta 0.1706 0.8294 0.7500  6 Ta 2.67-2.80
Ta 0.6588 0.8294 0.7500  6 Ta 2.67-2.80
Ta 0.6667 0.3333 0.9377  16 Ta 3.13-3.34

Results
spin magnetization = 0.01 μB per cell
crystal system = hexagonal
E_tot = -0.86376 Ry/atom
polymorph energy (0 for the lowest one) = 0.100 eV/atom

---

# FeNiPbS3

A geometry-optimized FeNiPbS3 structure (PBE-GGA, OQMD via LeMat-Bulk).

Lattice parameters (Å, degrees): 6.8024 6.8024 9.0630 90.00 90.00 30.11
Last column: nearest neighbours and their distance in Å.
Fractional coordinates of all 12 atoms:
Fe 0.0000 0.0000 0.0000  6 S 2.41
Fe 0.0000 0.0000 0.5000  6 S 2.41
Ni 0.4638 0.4638 0.2500  4 S 2.20-2.21
Ni 0.5362 0.5362 0.7500  4 S 2.20-2.21
Pb 0.7583 0.7583 0.2500  8 S 3.04-3.18, 2 Ni 3.23
Pb 0.2417 0.2417 0.7500  8 S 3.04-3.18, 2 Ni 3.23
S 0.3781 0.3781 0.0396  1 Ni 2.21, 2 Fe 2.41
S 0.0632 0.0632 0.2500  2 Ni 2.20, 2 Fe 2.41
S 0.3781 0.3781 0.4604  1 Ni 2.21, 2 Fe 2.41
S 0.6219 0.6219 0.5396  1 Ni 2.21, 2 Fe 2.41
S 0.9368 0.9368 0.7500  2 Ni 2.20, 2 Fe 2.41
S 0.6219 0.6219 0.9604  1 Ni 2.21, 2 Fe 2.41

Results
spin magnetization = 4.67 μB per cell
crystal system = orthorhombic
E_tot = -0.38698 Ry/atom
polymorph energy (0 for the lowest one) = 0.000 eV/atom

---

# Sm3Sc3NiTe2

A geometry-optimized Sm3Sc3NiTe2 structure (PBE-GGA, OQMD via LeMat-Bulk).

Lattice parameters (Å, degrees): 8.0747 8.0747 4.0256 90.00 90.00 120.00
Last column: nearest neighbours and their distance in Å.
Fractional coordinates of all 9 atoms:
Ni 0.0000 0.0000 0.0000  6 Sc 2.72
Sc 0.2274 0.0000 0.5000  2 Ni 2.72
Sc 0.0000 0.2274 0.5000  2 Ni 2.72
Sc 0.7726 0.7726 0.5000  2 Ni 2.72
Sm 0.6065 0.0000 0.0000  1 Ni 3.18, 4 Te 3.20, 4 Sc 3.42
Sm 0.3935 0.3935 0.0000  1 Ni 3.18, 4 Te 3.20, 4 Sc 3.42
Sm 0.0000 0.6065 0.0000  1 Ni 3.18, 4 Te 3.20, 4 Sc 3.42
Te 0.6667 0.3333 0.5000  6 Sm 3.20, 3 Sc 3.21
Te 0.3333 0.6667 0.5000  6 Sm 3.20, 3 Sc 3.21

Results
spin magnetization = 0.53 μB per cell
crystal system = hexagonal
E_tot = -0.42214 Ry/atom
polymorph energy (0 for the lowest one) = 0.000 eV/atom

---

# Sm2Ga2Fe15C3

A geometry-optimized Sm2Ga2Fe15C3 structure (PBE-GGA, OQMD via LeMat-Bulk).

Lattice parameters (Å, degrees): 6.5526 6.5526 6.5526 83.40 83.40 83.40
Last column: nearest neighbours and their distance in Å.
Fractional coordinates of all 22 atoms:
C 0.5000 0.5000 0.0000  4 Fe 1.88-1.92
C 0.5000 0.0000 0.5000  4 Fe 1.88-1.92
C 0.0000 0.5000 0.5000  4 Fe 1.88-1.92
Fe 0.5000 0.0000 0.0000  8 Fe 2.46-2.50, 2 Ga 2.64
Fe 0.7154 0.2846 0.0000  1 C 1.88
Fe 0.0000 0.5000 0.0000  8 Fe 2.46-2.50, 2 Ga 2.64
Fe 0.2846 0.7154 0.0000  1 C 1.88
Fe 0.6563 0.6563 0.1460  1 C 1.92
Fe 0.7154 0.0000 0.2846  1 C 1.88
Fe 0.0000 0.7154 0.2846  1 C 1.88
Fe 0.8540 0.3437 0.3437  1 C 1.92
Fe 0.3437 0.8540 0.3437  1 C 1.92
Fe 0.0000 0.0000 0.5000  8 Fe 2.46-2.50, 2 Ga 2.64
Fe 0.6563 0.1460 0.6563  1 C 1.92
Fe 0.1460 0.6563 0.6563  1 C 1.92
Fe 0.2846 0.0000 0.7154  1 C 1.88
Fe 0.0000 0.2846 0.7154  1 C 1.88
Fe 0.3437 0.3437 0.8540  1 C 1.92
Ga 0.1025 0.1025 0.1025  1 Ga 2.58, 12 Fe 2.64-2.80
Ga 0.8974 0.8974 0.8974  1 Ga 2.58, 12 Fe 2.64-2.80
Sm 0.3494 0.3494 0.3494  3 C 2.52
Sm 0.6506 0.6506 0.6506  3 C 2.52

Results
spin magnetization = 29.99 μB per cell
crystal system = trigonal
E_tot = -0.56833 Ry/atom

---

# Hg2B2O5

A geometry-optimized Hg2B2O5 structure (PBE-GGA, OQMD via LeMat-Bulk).

Lattice parameters (Å, degrees): 9.5586 3.2634 3.2634 90.00 90.00 90.00
Last column: nearest neighbours and their distance in Å.
Fractional coordinates of all 9 atoms:
B 0.0000 0.0000 0.0000  8 O 1.92
B 0.5000 0.0000 0.0000  4 O 2.31
Hg 0.2749 0.5000 0.5000  5 O 2.15-2.29
Hg 0.7251 0.5000 0.5000  5 O 2.15-2.29
O 0.1062 0.5000 0.0000  2 B 1.92, 1 O 2.03
O 0.8938 0.5000 0.0000  2 B 1.92, 1 O 2.03
O 0.1062 0.0000 0.5000  2 B 1.92, 1 O 2.03
O 0.8938 0.0000 0.5000  2 B 1.92, 1 O 2.03
O 0.5000 0.5000 0.5000  2 Hg 2.15, 4 B 2.31

Results
crystal system = tetragonal
E_tot = -0.25592 Ry/atom
polymorph energy (0 for the lowest one) = 1.222 eV/atom

---

# NbFeHgPb

A geometry-optimized NbFeHgPb structure (PBE-GGA, OQMD via LeMat-Bulk).

Lattice parameters (Å, degrees): 4.7540 4.7540 4.7540 60.00 60.00 60.00
Last column: nearest neighbours and their distance in Å.
Fractional coordinates of all 4 atoms:
Fe 0.7500 0.7500 0.7500  4 Nb 2.91, 4 Pb 2.91
Hg 0.2500 0.2500 0.2500  4 Nb 2.91, 4 Pb 2.91
Nb 0.5000 0.5000 0.5000  4 Fe 2.91, 4 Hg 2.91
Pb 0.0000 0.0000 0.0000  4 Fe 2.91, 4 Hg 2.91

Results
spin magnetization = 0.92 μB per cell
crystal system = cubic
E_tot = -0.36051 Ry/atom
polymorph energy (0 for the lowest one) = 0.075 eV/atom

---

# La2Pr2CF5

A geometry-optimized La2Pr2CF5 structure (PBE-GGA, OQMD via LeMat-Bulk).

Lattice parameters (Å, degrees): 7.9644 7.9644 7.1002 115.45 115.45 26.38
Last column: nearest neighbours and their distance in Å.
Fractional coordinates of all 10 atoms:
C 0.5000 0.5000 0.0000  4 Pr 2.50, 2 La 2.55
F 0.8224 0.8224 0.0828  1 Pr 2.45, 3 La 2.56-2.60, 2 F 2.72
F 0.1750 0.1750 0.4401  1 Pr 2.47, 3 La 2.60-2.61
F 0.5000 0.5000 0.5000  4 Pr 2.58
F 0.8250 0.8250 0.5599  1 Pr 2.47, 3 La 2.60-2.61
F 0.1776 0.1776 0.9172  1 Pr 2.45, 3 La 2.56-2.60, 2 F 2.72
La 0.6830 0.6830 0.1843  1 C 2.55, 6 F 2.56-2.61
La 0.3170 0.3170 0.8157  1 C 2.55, 6 F 2.56-2.61
Pr 0.9985 0.9985 0.2406  4 F 2.45-2.58, 2 C 2.50
Pr 0.0015 0.0015 0.7594  4 F 2.45-2.58, 2 C 2.50

Results
spin magnetization = 0.43 μB per cell
crystal system = monoclinic
E_tot = -0.47547 Ry/atom